1.
! NaHPd2Pt (PBE, optimized geometry); values from VASP
! - E above lowest polymorph: 58 meV per atom
! - Spin magnetization: 0.0 μB per formula unit
&SYSTEM
  ibrav = 0, nat = 5, ntyp = 4
/
ATOMIC_SPECIES
Pd 106.42 Pd.upf
Pt 195.08 Pt.upf
Na 22.99 Na.upf
H 1.01 H.upf
CELL_PARAMETERS angstrom
-2.6332 2.1472 -2.0995
-2.7675 -0.6512 2.8051
1.2118 3.4348 1.9930
ATOMIC_POSITIONS angstrom
Pd -1.3166 1.0736 -1.0497
Pt -2.0945 2.4654 1.3493
Na 0.6059 1.7174 0.9965
Pd -1.3838 -0.3256 1.4025
H 0.0000 0.0000 0.0000


2.
! NaPuH8Pd2 (PBE, optimized geometry); values from VASP
! - Raw total energy: -4.354 eV per atom
! - Spin magnetization: 4.9 μB per formula unit
&SYSTEM
  ibrav = 0, nat = 12, ntyp = 4
/
ATOMIC_SPECIES
H 1.01 H.upf
Pd 106.42 Pd.upf
Na 22.99 Na.upf
Pu 244.00 Pu.upf
CELL_PARAMETERS angstrom
-1.2092 4.1440 -1.6590
-2.9005 2.6922 2.3930
3.6050 4.9440 3.2761
ATOMIC_POSITIONS angstrom
H -1.7378 5.8157 0.2893
Pd 0.0974 3.0648 1.1388
H -2.4227 5.2267 1.9311
Na 0.0000 0.0000 0.0000
H -1.2473 4.1364 0.9609
H -1.9443 7.9963 2.0535
H 1.9180 6.5535 2.0790
H 1.4396 3.7839 1.9567
H 1.2331 5.9645 3.7209
Pu -0.2524 5.8901 2.0051
Pd -0.6021 8.7154 2.8714
H 0.7426 7.6439 3.0493


3.
! Na2PuH12Pd3 (PBE, optimized geometry); values from VASP
! - Raw total energy: -4.193 eV per atom
! - Spin magnetization: 5.5 μB per formula unit
&SYSTEM
  ibrav = 0, nat = 18, ntyp = 4
/
ATOMIC_SPECIES
Pd 106.42 Pd.upf
H 1.01 H.upf
Na 22.99 Na.upf
Pu 244.00 Pu.upf
CELL_PARAMETERS angstrom
-1.2904 5.6542 -2.1658
-2.6684 -0.1762 -5.5834
-6.0508 1.2852 0.2472
ATOMIC_POSITIONS angstrom
Pd -1.3342 -0.0881 -2.7917
H -5.6076 5.0548 -1.9107
Na -3.7346 2.5234 -2.7990
H -1.9143 3.4758 -1.9817
H -2.5432 0.8152 -3.5413
H -7.4665 5.9481 -3.9607
H -3.5207 5.4376 -3.4053
Pd -3.0254 0.6426 0.1236
H -4.0867 1.4821 -0.8806
Pu 0.0000 0.0000 0.0000
H -4.4021 1.7085 -5.5912
H -6.5655 2.6432 -1.8620
Pd -0.6452 2.8271 -1.0829
Na -6.2751 4.2399 -4.7030
H -8.0953 3.2875 -5.5202
H -5.9230 5.2812 -6.6213
H -6.4890 1.3256 -4.0966
H -3.4442 4.1201 -5.6400


4.
! RbNa2H4Pd (PBE, optimized geometry); values from VASP
! - Raw total energy: -2.957 eV per atom
! - Spin magnetization: 0.0 μB per formula unit
&SYSTEM
  ibrav = 0, nat = 16, ntyp = 4
/
ATOMIC_SPECIES
Pd 106.42 Pd.upf
H 1.01 H.upf
Rb 85.47 Rb.upf
Na 22.99 Na.upf
CELL_PARAMETERS angstrom
-0.8258 -2.0202 2.8710
6.3072 -0.6637 -0.9177
1.9855 9.1636 7.0191
ATOMIC_POSITIONS angstrom
Pd 3.0656 1.5613 1.9805
H 3.9032 3.6585 5.9621
H 3.5636 2.8213 3.0103
Rb 2.1798 6.6766 5.3250
H 0.0000 0.0000 0.0000
Pd 4.4012 4.9185 6.9919
Na 2.0863 2.7043 4.7680
H 5.0261 5.8684 5.5751
H 0.9928 4.5818 3.5096
H 4.4754 6.2988 7.9845
Rb 5.2871 -0.1968 3.6474
H 2.4407 0.6115 3.3973
H 2.9915 0.1810 0.9879
Na 6.1938 7.5290 7.0795
Na 1.2730 -1.0492 1.8929
Na 5.3805 3.7755 4.2044


5.
! Rb2Na2H4Pd (PBE, optimized geometry); values from VASP
! - Raw total energy: -2.650 eV per atom
! - Spin magnetization: 0.0 μB per formula unit
&SYSTEM
  ibrav = 0, nat = 9, ntyp = 4
/
ATOMIC_SPECIES
Pd 106.42 Pd.upf
H 1.01 H.upf
Rb 85.47 Rb.upf
Na 22.99 Na.upf
CELL_PARAMETERS angstrom
6.4512 0.2589 0.3736
-2.8696 5.7837 -0.3736
-2.8696 -2.3818 5.2837
ATOMIC_POSITIONS angstrom
Pd 0.0000 0.0000 0.0000
H 1.2144 0.6645 0.9591
Rb 0.3560 -0.2110 4.0562
H -0.5023 2.9962 4.3246
H -2.8696 4.3994 0.5854
Na -3.8766 2.2978 3.3165
H -2.8696 -0.9976 4.3246
Na -1.8626 1.1040 1.5935
Rb 0.3560 3.8717 1.2275


6.
! RbNaH4Pd (PBE, optimized geometry); values from VASP
! - Raw total energy: -3.188 eV per atom
! - Spin magnetization: 0.0 μB per formula unit
&SYSTEM
  ibrav = 0, nat = 14, ntyp = 4
/
ATOMIC_SPECIES
Pd 106.42 Pd.upf
H 1.01 H.upf
Rb 85.47 Rb.upf
Na 22.99 Na.upf
CELL_PARAMETERS angstrom
5.2979 0.0000 0.0000
0.0000 5.3164 0.0000
-2.6490 0.0000 9.5226
ATOMIC_POSITIONS angstrom
Pd 2.6490 1.3291 4.7637
H 0.0000 3.9873 6.4445
H 2.6490 1.3291 6.4530
H -1.3245 0.0000 4.7613
H 0.0000 3.9873 3.0696
Rb 0.0000 1.3291 2.2561
Rb 2.6490 3.9873 7.2665
Na 0.0000 1.3291 6.1545
H 1.3245 2.6582 4.7613
Na 2.6490 3.9873 3.3681
H 1.3245 0.0000 4.7613
Pd 0.0000 3.9873 4.7589
H 2.6490 1.3291 3.0781
H -1.3245 2.6582 4.7613


7.
! NaH8Pd2Rh3 (PBE, optimized geometry); values from VASP
! - Raw total energy: -4.425 eV per atom
! - Spin magnetization: 0.0 μB per formula unit
&SYSTEM
  ibrav = 0, nat = 14, ntyp = 4
/
ATOMIC_SPECIES
Na 22.99 Na.upf
H 1.01 H.upf
Rh 102.91 Rh.upf
Pd 106.42 Pd.upf
CELL_PARAMETERS angstrom
-4.1250 -2.4195 -2.9991
-0.8314 -5.5737 0.3277
-4.5658 -2.0245 2.6008
ATOMIC_POSITIONS angstrom
Na -6.0419 -7.7548 -1.3707
H -4.8163 -3.5146 1.4360
H -7.3711 -7.4628 0.2220
Rh -6.6197 -3.2460 1.0988
Rh -7.0324 -6.0126 1.2615
H -6.8359 -4.6992 -0.0324
H -4.2206 -4.0317 -1.5670
Pd -4.7792 -5.0049 -0.0137
H -2.2650 -2.5298 -0.1561
Rh -4.9849 -4.8117 2.7502
Pd -3.4474 -2.2701 1.2606
H -5.2234 -6.2434 1.5964
H -4.5545 -6.2698 -1.4354
H -2.8980 -5.2982 -0.2311


8.
! NaH6PdRh (PBE, optimized geometry); values from VASP
! - Raw total energy: -3.911 eV per atom
! - Spin magnetization: 0.0 μB per formula unit
&SYSTEM
  ibrav = 0, nat = 9, ntyp = 4
/
ATOMIC_SPECIES
Rh 102.91 Rh.upf
Na 22.99 Na.upf
H 1.01 H.upf
Pd 106.42 Pd.upf
CELL_PARAMETERS angstrom
5.2632 -0.0426 -0.0253
2.5729 4.5930 -0.0179
0.0212 0.0068 3.3823
ATOMIC_POSITIONS angstrom
Rh 2.5703 1.4902 1.4897
Na 0.1454 0.0791 3.1966
H 4.0371 2.3416 1.4699
H 2.8380 1.6427 3.1790
H 2.0938 3.1080 1.4914
H 4.3898 4.5132 1.4776
Pd 5.5396 3.2150 1.4745
H 3.7387 0.2740 1.4869
H 6.0966 1.5727 1.4730


9.
! Na2Sb3H2Pd5 (PBE, optimized geometry); values from VASP
! - Raw total energy: -4.270 eV per atom
! - Spin magnetization: 0.0 μB per formula unit
&SYSTEM
  ibrav = 0, nat = 12, ntyp = 4
/
ATOMIC_SPECIES
Na 22.99 Na.upf
Pd 106.42 Pd.upf
H 1.01 H.upf
Sb 121.76 Sb.upf
CELL_PARAMETERS angstrom
4.2238 0.0000 0.0000
0.0000 4.2238 0.0000
-2.1119 -2.1119 11.7051
ATOMIC_POSITIONS angstrom
Na 0.0000 0.0000 7.0374
Pd 2.1119 0.0000 9.6447
Pd 0.0000 2.1119 9.6447
H 0.0000 0.0000 9.8738
H 2.1119 2.1119 1.8313
Na 2.1119 2.1119 4.6677
Sb 0.0000 0.0000 3.7842
Sb 0.0000 0.0000 0.0000
Sb 2.1119 2.1119 7.9209
Pd 0.0000 2.1119 2.0604
Pd 2.1119 2.1119 0.0000
Pd 2.1119 0.0000 2.0604


10.
! Na2SbHPd6 (PBE, optimized geometry); values from VASP
! - Raw total energy: -4.374 eV per atom
! - Spin magnetization: 0.0 μB per formula unit
&SYSTEM
  ibrav = 0, nat = 10, ntyp = 4
/
ATOMIC_SPECIES
Na 22.99 Na.upf
Pd 106.42 Pd.upf
H 1.01 H.upf
Sb 121.76 Sb.upf
CELL_PARAMETERS angstrom
-4.6768 0.1800 -3.2544
1.8216 -6.1560 -2.9582
-3.9677 -4.0605 0.4867
ATOMIC_POSITIONS angstrom
Na -1.4886 -6.9417 -3.2338
Pd -0.0068 -4.3238 -2.7132
Pd -6.8161 -5.7127 -3.0127
H -1.4276 -2.9880 -3.1063
Pd -4.3337 -6.2615 -4.0976
Na -5.3343 -3.0948 -2.4921
Sb 0.0000 0.0000 0.0000
Pd -2.4892 -3.7750 -1.6283
Pd -4.4746 -5.8002 -1.3769
Pd -2.3483 -4.2363 -4.3491


11.
! Na5SbH2Pd (PBE, optimized geometry); values from VASP
! - Raw total energy: -2.826 eV per atom
! - Spin magnetization: 0.0 μB per formula unit
&SYSTEM
  ibrav = 0, nat = 9, ntyp = 4
/
ATOMIC_SPECIES
Pd 106.42 Pd.upf
Na 22.99 Na.upf
H 1.01 H.upf
Sb 121.76 Sb.upf
CELL_PARAMETERS angstrom
4.9480 0.0000 0.0000
0.0000 4.9480 0.0000
0.0000 0.0000 7.9970
ATOMIC_POSITIONS angstrom
Pd 0.0000 0.0000 0.0000
Na 0.0000 2.4740 6.1376
H 0.0000 0.0000 1.6737
H 0.0000 0.0000 6.3233
Sb 2.4740 2.4740 3.9985
Na 0.0000 0.0000 3.9985
Na 2.4740 0.0000 6.1376
Na 0.0000 2.4740 1.8594
Na 2.4740 0.0000 1.8594


12.
! Na2SiHPd6 (PBE, optimized geometry); values from VASP
! - Raw total energy: -4.574 eV per atom
! - Spin magnetization: 0.0 μB per formula unit
&SYSTEM
  ibrav = 0, nat = 10, ntyp = 4
/
ATOMIC_SPECIES
Pd 106.42 Pd.upf
Si 28.09 Si.upf
Na 22.99 Na.upf
H 1.01 H.upf
CELL_PARAMETERS angstrom
-5.5652 -0.3811 -2.4338
0.3473 -6.0744 0.1490
-4.3700 -3.2817 2.7702
ATOMIC_POSITIONS angstrom
Pd -1.2245 -4.5610 -0.5376
Pd -8.1903 -8.0208 1.0688
Si 0.0000 0.0000 0.0000
Na -6.2512 -3.4653 -0.3939
Pd -1.3976 -1.7163 -0.5834
Pd -3.9933 -1.8945 -1.7472
Pd -3.4169 -3.2351 0.6909
Na -3.3366 -6.2718 0.8793
H -2.6089 -3.2277 -1.1424
Pd -6.1710 -6.5021 -0.2055